Computed, not measured: a relaxed structure of PaGaTcRh at the GGA-PBE level of DFT.

Structure (POSCAR):
```
PaGaTcRh
1.0
-1.007 0.601 3.447
-4.309 0.535 -1.352
-0.667 -4.069 0.515
Pa Ga Tc Rh
1 1 1 1
Direct
0.500 0.000 0.500
0.500 0.500 0.000
0.000 0.000 0.000
0.000 0.500 0.500
```

## Properties
* ΔE to the lowest computed polymorph: 0 meV per atom
* E_form: -0.63 eV/atom